(1)
This record from Alexandria via LeMat-Bulk describes an optimized crystal structure of ReC. The functional is GGA-PBEsol.

## Properties
D(E_F): 0.478 states/eV per atom
E_form: 0.894 eV/atom
Total moment: 0.0 μB/f.u.

a = 5.2413 Å, b = 5.2413 Å, c = 5.2413 Å
α = 147.24°, β = 147.24°, γ = 47.01°
Element x y z (fractional)
Re (0.3750, 0.6250, 0.7500)
Re (0.6250, 0.3750, 0.2500)
C (0.1250, 0.8750, 0.2500)
C (0.8750, 0.1250, 0.7500)



(2)
This record from Alexandria via LeMat-Bulk describes an optimized crystal structure of ScSe2N. The functional is GGA-PBEsol.

## Properties
D(E_F): 0.696 states/eV per atom
Energy relative to the elements, uncorrected: 0.1702 eV/atom
Total moment: 0.0 μB/f.u.

a = 7.0745 Å, b = 7.0745 Å, c = 7.0745 Å
α = 136.55°, β = 136.55°, γ = 63.13°
Element x y z (fractional)
Sc (0.0000, 0.0000, 0.0000)
Sc (0.7500, 0.2500, 0.5000)
Se (0.2070, 0.6250, 0.0820)
Se (0.3750, 0.4570, 0.5820)
Se (0.5430, 0.1250, 0.9180)
Se (0.8750, 0.7930, 0.4180)
N (0.2500, 0.7500, 0.5000)
N (0.5000, 0.5000, 0.0000)



(3)
This record from Alexandria via LeMat-Bulk describes an optimized crystal structure of CeZr11O24. The functional is GGA-PBEsol.

## Properties
D(E_F): 0.000 states/eV per atom
Energy relative to the elements, uncorrected: -3.4701 eV/atom
Total moment: 0.0 μB/f.u.

a = 6.7903 Å, b = 7.3672 Å, c = 9.5654 Å
α = 93.20°, β = 91.46°, γ = 116.41°
Element x y z (fractional)
Ce (0.0000, 0.0000, 0.0000)
Zr (0.1542, 0.3445, 0.7348)
Zr (0.1910, 0.8862, 0.6895)
Zr (0.2964, 0.1194, 0.3809)
Zr (0.3273, 0.6615, 0.3313)
Zr (0.4899, 0.0055, 0.0739)
Zr (0.5193, 0.5512, 0.0260)
Zr (0.6239, 0.7838, 0.7066)
Zr (0.6622, 0.3305, 0.6651)
Zr (0.8209, 0.6758, 0.4042)
Zr (0.8569, 0.2198, 0.3616)
Zr (0.9533, 0.4509, 0.0433)
O (0.1859, 0.8210, 0.4586)
O (0.1907, 0.3419, 0.9599)
O (0.2113, 0.3529, 0.3465)
O (0.2265, 0.0320, 0.1717)
O (0.2702, 0.6488, 0.7142)
O (0.2729, 0.9573, 0.9008)
O (0.2881, 0.6722, 0.1087)
O (0.2989, 0.1849, 0.6102)
O (0.5179, 0.4877, 0.7896)
O (0.5284, 0.9946, 0.3016)
O (0.5449, 0.0211, 0.6778)
O (0.5492, 0.7025, 0.4969)
O (0.5940, 0.3104, 0.0499)
O (0.6007, 0.6340, 0.2363)
O (0.6167, 0.8431, 0.9413)
O (0.6255, 0.3409, 0.4392)
O (0.8427, 0.1618, 0.1297)
O (0.8571, 0.6619, 0.6291)
O (0.8664, 0.6743, 0.0131)
O (0.8802, 0.3683, 0.8311)
O (0.9342, 0.3023, 0.5705)
O (0.9397, 0.9834, 0.3867)
O (0.9587, 0.0072, 0.7615)
O (0.9624, 0.5172, 0.2790)



(4)
This record from Alexandria via LeMat-Bulk describes an optimized crystal structure of TaBe2. The functional is GGA-PBEsol.

## Properties
D(E_F): 0.754 states/eV per atom
E_form: -0.187 eV/atom
Total moment: 0.0 μB/f.u.

a = 4.5887 Å, b = 4.5887 Å, c = 14.8736 Å
α = 90.00°, β = 90.00°, γ = 120.00°
Element x y z (fractional)
Ta (0.0000, 0.0000, 0.0921)
Ta (0.0000, 0.0000, 0.4079)
Ta (0.0000, 0.0000, 0.5921)
Ta (0.0000, 0.0000, 0.9079)
Ta (0.3333, 0.6667, 0.1563)
Ta (0.3333, 0.6667, 0.3437)
Ta (0.6667, 0.3333, 0.6563)
Ta (0.6667, 0.3333, 0.8437)
Be (0.0000, 0.5000, 0.0000)
Be (0.0000, 0.5000, 0.5000)
Be (0.1611, 0.3222, 0.7500)
Be (0.1611, 0.8389, 0.7500)
Be (0.3222, 0.1611, 0.2500)
Be (0.3333, 0.6667, 0.6272)
Be (0.3333, 0.6667, 0.8728)
Be (0.5000, 0.0000, 0.0000)
Be (0.5000, 0.0000, 0.5000)
Be (0.5000, 0.5000, 0.0000)
Be (0.5000, 0.5000, 0.5000)
Be (0.6667, 0.3333, 0.1272)
Be (0.6667, 0.3333, 0.3728)
Be (0.6778, 0.8389, 0.7500)
Be (0.8389, 0.1611, 0.2500)
Be (0.8389, 0.6778, 0.2500)



(5)
This record from Alexandria via LeMat-Bulk describes an optimized crystal structure of BaSc2Se. The functional is GGA-PBEsol.

## Properties
D(E_F): 1.262 states/eV per atom
Energy relative to the elements, uncorrected: -0.2846 eV/atom
Total moment: 0.6 μB/f.u.

a = 3.6465 Å, b = 5.1012 Å, c = 5.4778 Å
α = 90.00°, β = 90.00°, γ = 90.00°
Element x y z (fractional)
Ba (0.0000, 0.0000, 0.0000)
Sc (0.0000, 0.5000, 0.5000)
Sc (0.5000, 0.5000, 0.0000)
Se (0.5000, 0.0000, 0.5000)



(6)
This record from Alexandria via LeMat-Bulk describes an optimized crystal structure of RbCuS3. The functional is GGA-PBEsol.

## Properties
D(E_F): 0.873 states/eV per atom
Energy relative to the elements, uncorrected: -0.0483 eV/atom
Total moment: 0.0 μB/f.u.

a = 4.6571 Å, b = 4.6571 Å, c = 4.6571 Å
α = 90.00°, β = 90.00°, γ = 90.00°
Element x y z (fractional)
Rb (0.0000, 0.0000, 0.0000)
Cu (0.5000, 0.5000, 0.5000)
S (0.0000, 0.5000, 0.5000)
S (0.5000, 0.0000, 0.5000)
S (0.5000, 0.5000, 0.0000)



(7)
This record from Alexandria via LeMat-Bulk describes an optimized crystal structure of Rb2BeF4. The functional is GGA-PBEsol.

## Properties
D(E_F): 0.000 states/eV per atom
Energy relative to the elements, uncorrected: -3.0252 eV/atom
Total moment: 0.1 μB/f.u.

a = 9.8137 Å, b = 5.8712 Å, c = 9.5919 Å
α = 90.00°, β = 90.00°, γ = 90.00°
Element x y z (fractional)
Rb (0.0038, 0.2134, 0.0000)
Rb (0.2233, 0.6617, 0.8407)
Rb (0.2767, 0.1617, 0.3407)
Rb (0.4962, 0.7134, 0.5000)
Rb (0.5038, 0.2866, 0.0000)
Rb (0.7233, 0.8383, 0.8407)
Rb (0.7767, 0.3383, 0.3407)
Rb (0.9962, 0.7866, 0.5000)
Be (0.1653, 0.6179, 0.2100)
Be (0.3347, 0.1179, 0.7100)
Be (0.6653, 0.8821, 0.2100)
Be (0.8347, 0.3821, 0.7100)
F (0.0422, 0.4568, 0.2607)
F (0.1137, 0.8418, 0.1407)
F (0.2480, 0.1708, 0.8426)
F (0.2500, 0.4688, 0.1047)
F (0.2500, 0.9688, 0.6047)
F (0.2520, 0.6708, 0.3426)
F (0.3863, 0.3418, 0.6407)
F (0.4578, 0.9568, 0.7607)
F (0.5422, 0.0432, 0.2607)
F (0.6137, 0.6582, 0.1407)
F (0.7480, 0.3292, 0.8426)
F (0.7500, 0.0312, 0.1047)
F (0.7500, 0.5312, 0.6047)
F (0.7520, 0.8292, 0.3426)
F (0.8863, 0.1582, 0.6407)
F (0.9578, 0.5432, 0.7607)



(8)
This record from Alexandria via LeMat-Bulk describes an optimized crystal structure of ZrHg2. The functional is GGA-PBEsol.

## Properties
D(E_F): 0.390 states/eV per atom
E_form: -0.174 eV/atom
Total moment: 0.0 μB/f.u.

a = 4.8787 Å, b = 4.8787 Å, c = 6.0235 Å
α = 90.00°, β = 90.00°, γ = 120.00°
Element x y z (fractional)
Zr (0.3333, 0.6667, 0.2500)
Zr (0.6667, 0.3333, 0.7500)
Hg (0.0000, 0.0000, 0.0000)
Hg (0.0000, 0.0000, 0.5000)
Hg (0.3333, 0.6667, 0.7500)
Hg (0.6667, 0.3333, 0.2500)



(9)
This record from Alexandria via LeMat-Bulk describes an optimized crystal structure of PmGdIn2. The functional is GGA-PBEsol.

## Properties
D(E_F): 0.540 states/eV per atom
E_form: -0.535 eV/atom
Total moment: 7.2 μB/f.u.

a = 5.3079 Å, b = 5.3079 Å, c = 5.3079 Å
α = 60.00°, β = 60.00°, γ = 60.00°
Element x y z (fractional)
Pm (0.0000, 0.0000, 0.0000)
Gd (0.5000, 0.5000, 0.5000)
In (0.2500, 0.2500, 0.2500)
In (0.7500, 0.7500, 0.7500)



(10)
This record from Alexandria via LeMat-Bulk describes an optimized crystal structure of InIrW. The functional is GGA-PBEsol.

## Properties
D(E_F): 0.599 states/eV per atom
E_form: 0.033 eV/atom
Total moment: 0.0 μB/f.u.

a = 6.2494 Å, b = 6.2494 Å, c = 6.2494 Å
α = 153.28°, β = 153.28°, γ = 38.14°
Element x y z (fractional)
In (0.0000, 0.0000, 0.0000)
Ir (0.6754, 0.6754, 0.0000)
W (0.3173, 0.3173, 0.0000)



(11)
This record from Alexandria via LeMat-Bulk describes an optimized crystal structure of BaLuFeCuO5. The functional is GGA-PBEsol.

## Properties
D(E_F): 0.186 states/eV per atom
Energy relative to the elements, uncorrected: -2.1446 eV/atom
Total moment: 4.4 μB/f.u.

a = 3.8200 Å, b = 3.8200 Å, c = 7.5192 Å
α = 90.00°, β = 90.00°, γ = 90.00°
Element x y z (fractional)
Ba (0.0000, 0.0000, 0.0000)
Lu (0.0000, 0.0000, 0.5274)
Fe (0.5000, 0.5000, 0.2914)
Cu (0.5000, 0.5000, 0.7291)
O (0.0000, 0.5000, 0.3464)
O (0.0000, 0.5000, 0.7052)
O (0.5000, 0.0000, 0.3464)
O (0.5000, 0.0000, 0.7052)
O (0.5000, 0.5000, 0.0466)



(12)
This record from Alexandria via LeMat-Bulk describes an optimized crystal structure of EuZnGe. The functional is GGA-PBEsol.

## Properties
D(E_F): 3.210 states/eV per atom
E_form: -0.504 eV/atom
Total moment: 7.1 μB/f.u.

a = 4.2306 Å, b = 4.1888 Å, c = 7.4387 Å
α = 90.00°, β = 90.00°, γ = 90.00°
Element x y z (fractional)
Eu (0.2500, 0.0000, 0.2348)
Eu (0.7500, 0.0000, 0.7652)
Zn (0.2500, 0.5000, 0.5764)
Zn (0.7500, 0.5000, 0.4236)
Ge (0.2500, 0.5000, 0.9071)
Ge (0.7500, 0.5000, 0.0929)



Among the records above, which one has the highest D(E_F)? EuZnGe